Record 1
Material: SiTeMo2
Method: DFT, PBE
State: relaxed Values from VASP.

## Properties
Space-group type   P4mm, No. 99
Electronic total energy   -7.5327 eV per atom
Energy above the most stable polymorph in this dataset   0 meV per atom
DOS at the Fermi energy   2.5 states/eV per cell

Structure (Quantum ESPRESSO input):
```
&SYSTEM
  ibrav = 0, nat = 4, ntyp = 3
/
ATOMIC_SPECIES
Mo 95.94 Mo.upf
Si 28.09 Si.upf
Te 127.60 Te.upf
ATOMIC_POSITIONS angstrom
Mo 1.6710 1.6710 1.8587
Si 0.0000 0.0000 2.6573
Mo 0.0000 0.0000 6.1143
Te 1.6710 1.6710 4.7188
CELL_PARAMETERS angstrom
3.3420 0.0000 0.0000
0.0000 3.3420 0.0000
0.0000 0.0000 6.1396
```

Record 2
Material: SiTe2Mo
Method: DFT, PBE
State: relaxed Values from VASP.

## Properties
Space-group type   Cmmm, No. 65
Electronic total energy   -4.9136 eV per atom
DOS at the Fermi energy   4.1 states/eV per cell

Structure (Quantum ESPRESSO input):
```
&SYSTEM
  ibrav = 0, nat = 4, ntyp = 3
/
ATOMIC_SPECIES
Te 127.60 Te.upf
Mo 95.94 Mo.upf
Si 28.09 Si.upf
ATOMIC_POSITIONS angstrom
Te 3.3696 -1.5671 2.8287
Mo 2.3191 -1.8691 0.2779
Si 5.8814 -3.5259 3.2683
Te 0.1927 -0.0896 0.1617
CELL_PARAMETERS angstrom
-1.0853 -2.9222 -0.3261
2.1611 0.8407 -2.1086
7.1246 -3.3135 5.9809
```

Record 3
Material: Si4TeMo2
Method: DFT, PBE
State: relaxed Values from VASP.

## Properties
Space-group type   I4/mmm, No. 139
Electronic total energy   -5.3292 eV per atom
DOS at the Fermi energy   7.0 states/eV per cell

Structure (Quantum ESPRESSO input):
```
&SYSTEM
  ibrav = 0, nat = 7, ntyp = 3
/
ATOMIC_SPECIES
Mo 95.94 Mo.upf
Si 28.09 Si.upf
Te 127.60 Te.upf
ATOMIC_POSITIONS angstrom
Mo -2.7238 -1.6156 8.2052
Si -3.9119 -0.3011 6.5233
Te 0.0000 0.0000 0.0000
Si -0.4866 1.7611 1.7203
Mo -2.0468 -0.0499 3.1330
Si -2.1381 -1.1716 0.5946
Si -0.8588 -1.3645 4.8149
CELL_PARAMETERS angstrom
-0.9733 3.5222 3.4405
-4.2762 -2.3432 1.1892
0.4788 -2.8446 6.7085
```

Record 4
Material: Si2TeMo
Method: DFT, PBE
State: relaxed Values from VASP.

## Properties
Space-group type   R3m, No. 160
Electronic total energy   -5.9267 eV per atom
DOS at the Fermi energy   1.2 states/eV per cell

Structure (Quantum ESPRESSO input):
```
&SYSTEM
  ibrav = 0, nat = 4, ntyp = 3
/
ATOMIC_SPECIES
Te 127.60 Te.upf
Si 28.09 Si.upf
Mo 95.94 Mo.upf
ATOMIC_POSITIONS angstrom
Te -1.2335 -5.0036 -9.5262
Si -0.7013 -2.8447 -5.4160
Si -2.5239 -10.2376 -19.4912
Mo -1.8695 -7.5833 -14.4377
CELL_PARAMETERS angstrom
-1.6363 -1.7180 -7.3088
1.1680 -3.7493 -6.6050
-2.0630 -4.8003 -5.6346
```

| no. | ΔE_f (raw) (meV per atom) |
| --- | --- |
| 1 | 24 |
| 2 | 721 |
| 3 | 1313 |
| 4 | 278 |